Here is Na3CeSb2Se6 after structural relaxation from the Alexandria database. Energies are from PBE.

Values from the calculation:
**Magnetization**: 2.0 Bohr magnetons per cell
**Formation energy from raw total energies**: -0.963 eV per atom
**Total energy**: -101.20 eV per cell
**Calculated volume**: 649 Å³ per cell
**Crystal system**: monoclinic

abc: 7.314 12.673 7.414
angles: 90.00 109.14 90.00
Space group C2/m (No. 12)
Inequivalent atoms, fractional coordinates:
Na1 0.000 0.000 0.000 [2 per cell]
Na2 0.000 0.330 0.000 [4 per cell]
Ce1 0.000 0.500 0.500 [2 per cell]
Sb1 0.000 0.166 0.500 [4 per cell]
Se1 0.238 0.000 0.734 [4 per cell]
Se2 0.247 0.330 0.732 [8 per cell]


Here is Cd2InPb after structural relaxation from the Alexandria database. Energies are from PBE.

Values from the calculation:
**Magnetization**: 0.0 Bohr magnetons per cell
**Total energy**: -15.98 eV per cell
**Energy above the lowest structure with this stoichiometry**: 46.8 meV/atom
**Calculated formation energy**: 71 meV per atom
**Calculated volume**: 216 Å³ per cell
**Crystal system**: orthorhombic

abc: 3.621 5.610 10.628
angles: 90.00 90.00 90.00
Space group Immm (No. 71)
Inequivalent atoms, fractional coordinates:
Cd1 0.000 0.000 0.242 [4 per cell]
In1 0.000 0.500 0.500 [2 per cell]
Pb1 0.000 0.500 0.000 [2 per cell]


Here is La2CoHIr after structural relaxation from the Alexandria database. Energies are from PBE.

Values from the calculation:
**Magnetization**: 0.0 Bohr magnetons per cell
**Total energy**: -31.07 eV per cell
**Calculated volume**: 92 Å³ per cell
**Crystal system**: tetragonal

abc: 5.125 5.125 3.499
angles: 90.00 90.00 90.00
Space group P4/mmm (No. 123)
Inequivalent atoms, fractional coordinates:
La1 0.000 0.500 0.000 [2 per cell]
Co1 0.000 0.000 0.500 [1 per cell]
H1 0.000 0.000 0.000 [1 per cell]
Ir1 0.500 0.500 0.500 [1 per cell]


Here is Cs2PuCd2Te4 after structural relaxation from the Alexandria database. Energies are from PBE.

Values from the calculation:
**Magnetization**: 11.6 Bohr magnetons per cell
**Formation energy from raw total energies**: -0.820 eV per atom
**Total energy**: -75.64 eV per cell
**Calculated volume**: 708 Å³ per cell
**Crystal system**: monoclinic

abc: 17.244 4.779 9.012
angles: 90.00 107.46 90.00
Space group C2/m (No. 12)
Inequivalent atoms, fractional coordinates:
Cs1 0.129 0.000 0.061 [4 per cell]
Pu1 0.000 0.000 0.500 [2 per cell]
Cd1 0.167 0.500 0.480 [4 per cell]
Te1 0.009 0.500 0.263 [4 per cell]
Te2 0.201 0.000 0.674 [4 per cell]


Here is Ti3ZnTc after structural relaxation from the Alexandria database. Energies are from PBE.

Values from the calculation:
**Magnetization**: 1.5 Bohr magnetons per cell
**Total energy**: -32.54 eV per cell
**Energy above the lowest structure with this stoichiometry**: 844.5 meV/atom
**Calculated formation energy**: 556 meV per atom
**Calculated volume**: 104 Å³ per cell
**Crystal system**: cubic

abc: 4.706 4.706 4.706
angles: 90.00 90.00 90.00
Space group Pm-3m (No. 221)
Inequivalent atoms, fractional coordinates:
Ti1 0.000 0.000 0.500 [3 per cell]
Zn1 0.500 0.500 0.500 [1 per cell]
Tc1 0.000 0.000 0.000 [1 per cell]


Here is ScTl2Ag2 after structural relaxation from the Alexandria database. Energies are from PBE.

Values from the calculation:
**Magnetization**: 0.0 Bohr magnetons per cell
**Total energy**: -32.79 eV per cell
**Energy above the lowest structure with this stoichiometry**: 0.0 meV/atom
**Calculated formation energy**: 74 meV per atom
**Calculated volume**: 231 Å³ per cell
**Crystal system**: tetragonal

abc: 7.813 7.813 3.790
angles: 90.00 90.00 90.00
Space group P4/mbm (No. 127)
Inequivalent atoms, fractional coordinates:
Sc1 0.000 0.000 0.000 [2 per cell]
Tl1 0.179 0.321 0.500 [4 per cell]
Ag1 0.125 0.625 0.000 [4 per cell]


Here is Pr2HoSc4 after structural relaxation from the Alexandria database. Energies are from PBE.

Values from the calculation:
**Magnetization**: 0.0 Bohr magnetons per cell
**Total energy**: -76.20 eV per cell
**Calculated formation energy**: 195 meV per atom
**Calculated volume**: 406 Å³ per cell
**Crystal system**: triclinic

abc: 6.549 8.511 8.542
angles: 79.16 67.51 67.37
Space group P1 (No. 1)
Inequivalent atoms, fractional coordinates:
Pr1 0.000 0.000 0.000 [1 per cell]
Pr2 0.008 0.500 0.501 [1 per cell]
Pr3 0.090 0.013 0.545 [1 per cell]
Pr4 0.649 0.987 0.455 [1 per cell]
Ho1 0.100 0.537 0.014 [1 per cell]
Ho2 0.652 0.463 0.986 [1 per cell]
Sc1 0.230 0.250 0.757 [1 per cell]
Sc2 0.236 0.750 0.244 [1 per cell]
Sc3 0.337 0.146 0.143 [1 per cell]
Sc4 0.403 0.637 0.643 [1 per cell]
Sc5 0.626 0.854 0.858 [1 per cell]
Sc6 0.657 0.252 0.752 [1 per cell]
Sc7 0.660 0.748 0.248 [1 per cell]
Sc8 0.683 0.363 0.357 [1 per cell]


Here is NaSn3 after structural relaxation from the Alexandria database. Energies are from PBE.

Values from the calculation:
**Magnetization**: 0.0 Bohr magnetons per cell
**Total energy**: -27.29 eV per cell
**Calculated formation energy**: -79 meV per atom
**Calculated volume**: 216 Å³ per cell
**Crystal system**: orthorhombic

abc: 5.553 6.629 5.880
angles: 90.00 90.00 90.00
Space group Pmmn (No. 59, origin choice 2)
Inequivalent atoms, fractional coordinates:
Na1 0.250 0.250 0.153 [2 per cell]
Sn1 0.250 0.001 0.659 [4 per cell]
Sn2 0.250 0.750 0.186 [2 per cell]


Here is Zr3Cu5H12 after structural relaxation from the Alexandria database. Energies are from PBE.

Values from the calculation:
**Magnetization**: 0.0 Bohr magnetons per cell
**Total energy**: -709.09 eV per cell
**Calculated volume**: 1381 Å³ per cell
**Crystal system**: cubic

abc: 11.137 11.137 11.137
angles: 90.00 90.00 90.00
Space group Ia-3d (No. 230)
Inequivalent atoms, fractional coordinates:
Zr1 0.000 0.250 0.125 [24 per cell]
Cu1 0.000 0.000 0.000 [16 per cell]
Cu2 0.000 0.250 0.375 [24 per cell]
H1 0.025 0.063 0.654 [96 per cell]


Here is CaBeNb3 after structural relaxation from the Alexandria database. Energies are from PBE.

Values from the calculation:
**Magnetization**: 0.0 Bohr magnetons per cell
**Total energy**: -23.49 eV per cell
**Energy above the lowest structure with this stoichiometry**: 1764.7 meV/atom
**Calculated formation energy**: 2489 meV per atom
**Calculated volume**: 103 Å³ per cell
**Crystal system**: cubic

abc: 4.690 4.690 4.690
angles: 90.00 90.00 90.00
Space group Pm-3m (No. 221)
Inequivalent atoms, fractional coordinates:
Ca1 0.000 0.000 0.000 [1 per cell]
Be1 0.500 0.500 0.500 [1 per cell]
Nb1 0.000 0.000 0.500 [3 per cell]


Here is Dy4ThBi5 after structural relaxation from the Alexandria database. Energies are from PBE.

Values from the calculation:
**Magnetization**: 0.0 Bohr magnetons per cell
**Total energy**: -106.49 eV per cell
**Calculated formation energy**: -801 meV per atom
**Calculated volume**: 647 Å³ per cell
**Crystal system**: orthorhombic

abc: 4.506 6.378 22.494
angles: 90.00 90.00 90.00
Space group Immm (No. 71)
Inequivalent atoms, fractional coordinates:
Dy1 0.000 0.000 0.101 [4 per cell]
Dy2 0.000 0.000 0.297 [4 per cell]
Th1 0.000 0.000 0.500 [2 per cell]
Bi1 0.000 0.500 0.103 [4 per cell]
Bi2 0.000 0.500 0.301 [4 per cell]
Bi3 0.000 0.500 0.500 [2 per cell]


Here is Rb4La3HoO8 after structural relaxation from the Alexandria database. Energies are from PBE.

Values from the calculation:
**Magnetization**: 0.0 Bohr magnetons per cell
**Formation energy from raw total energies**: -2.628 eV per atom
**Total energy**: -314.83 eV per cell
**Calculated volume**: 931 Å³ per cell
**Crystal system**: trigonal

abc: 7.3754 7.3754 19.7679
angles: 90.00 90.00 120.00
Space group R-3m (No. 166, hexagonal axes)
Inequivalent atoms, fractional coordinates:
Rb1 0.0000 0.0000 0.0000 [3 per cell]
Rb2 0.0000 0.5000 0.0000 [9 per cell]
La1 0.0000 0.5000 0.5000 [9 per cell]
Ho1 0.0000 0.0000 0.5000 [3 per cell]
O1 0.0000 0.0000 0.2270 [6 per cell]
O2 0.0134 0.5067 0.2261 [18 per cell]